Nd2ThI: relaxed, PBE.

## Properties
- Uncorrected formation energy: -0.0954 eV/atom
- Offset from the most stable computed form: 246 meV per atom
- Crystal system: trigonal
- Mass density: 7.9 Mg/m³

Unit cell a=3.6237 b=3.6237 c=12.1942 alpha=81.46 beta=81.46 gamma=60.00
Positions (direct):
I: 0.5000 0.5000 0.5000
Nd: 0.0953 0.0953 0.7140
Nd: 0.9047 0.9047 0.2860
Th: 0.0000 0.0000 0.0000